A relaxed Zr4Cd3 crystal. Source: Alexandria via LeMat-Bulk, functional PBE.

a b c (Å): 5.6307 5.6307 5.5973
angles (deg): 90.00 90.00 60.00
Closest atoms and distances in Å follow each position.
Atoms (fractional coordinates):
Cd1 0.5000 0.5000 0.0000  4 Cd 2.82
Cd2 0.0000 0.5000 0.0000  4 Cd 2.82
Cd3 0.5000 0.0000 0.0000  4 Cd 2.82
Zr1 0.6667 0.6667 0.5000  6 Cd 3.24, 9 Zr 3.25-3.50
Zr2 0.0000 0.0000 0.2667  1 Zr 2.61
Zr3 0.0000 0.0000 0.7333  1 Zr 2.61
Zr4 0.3333 0.3333 0.5000  6 Cd 3.24, 9 Zr 3.25-3.50

Results
energy relative to the elements: -0.074 eV/atom
energy relative to the lowest polymorph listed for this composition: 44 meV per atom

---

A relaxed ZrCd crystal. Source: Alexandria via LeMat-Bulk, functional PBE.

a b c (Å): 11.1720 8.6528 7.8363
angles (deg): 90.00 90.00 90.00
Closest atoms and distances in Å follow each position.
Atoms (fractional coordinates):
Zr1 0.0000 0.1760 0.5000  6 Cd 2.93-3.11, 1 Zr 3.05
Zr2 0.2500 0.4260 0.2500  6 Cd 2.93-3.11, 1 Zr 3.05
Zr3 0.5000 0.3240 0.5000  6 Cd 2.93-3.11, 1 Zr 3.05
Zr4 0.0000 0.6760 0.0000  6 Cd 2.93-3.11, 1 Zr 3.05
Zr5 0.7500 0.0740 0.7500  6 Cd 2.93-3.11, 1 Zr 3.05
Zr6 0.2500 0.9260 0.7500  6 Cd 2.93-3.11, 1 Zr 3.05
Zr7 0.2500 0.5740 0.7500  6 Cd 2.93-3.11, 1 Zr 3.05
Zr8 0.7500 0.5740 0.2500  6 Cd 2.93-3.11, 1 Zr 3.05
Zr9 0.5000 0.6760 0.5000  6 Cd 2.93-3.11, 1 Zr 3.05
Zr10 0.0000 0.3240 0.0000  6 Cd 2.93-3.11, 1 Zr 3.05
Zr11 0.7500 0.4260 0.7500  6 Cd 2.93-3.11, 1 Zr 3.05
Zr12 0.5000 0.8240 0.0000  6 Cd 2.93-3.11, 1 Zr 3.05
Zr13 0.2500 0.0740 0.2500  6 Cd 2.93-3.11, 1 Zr 3.05
Zr14 0.7500 0.9260 0.2500  6 Cd 2.93-3.11, 1 Zr 3.05
Zr15 0.5000 0.1760 0.0000  6 Cd 2.93-3.11, 1 Zr 3.05
Zr16 0.0000 0.8240 0.5000  6 Cd 2.93-3.11, 1 Zr 3.05
Cd1 0.2500 0.7500 0.4228  1 Cd 2.71, 4 Zr 2.93-2.98
Cd2 0.2500 0.2500 0.5772  1 Cd 2.71, 4 Zr 2.93-2.98
Cd3 0.0000 0.5000 0.3272  1 Cd 2.71, 4 Zr 2.93-2.98
Cd4 0.7500 0.7500 0.9228  1 Cd 2.71, 4 Zr 2.93-2.98
Cd5 0.0000 0.5000 0.6728  1 Cd 2.71, 4 Zr 2.93-2.98
Cd6 0.2500 0.2500 0.9228  1 Cd 2.71, 4 Zr 2.93-2.98
Cd7 0.0000 0.0000 0.1728  1 Cd 2.71, 4 Zr 2.93-2.98
Cd8 0.7500 0.2500 0.0772  1 Cd 2.71, 4 Zr 2.93-2.98
Cd9 0.0000 0.0000 0.8272  1 Cd 2.71, 4 Zr 2.93-2.98
Cd10 0.2500 0.7500 0.0772  1 Cd 2.71, 4 Zr 2.93-2.98
Cd11 0.5000 0.0000 0.3272  1 Cd 2.71, 4 Zr 2.93-2.98
Cd12 0.7500 0.2500 0.4228  1 Cd 2.71, 4 Zr 2.93-2.98
Cd13 0.5000 0.0000 0.6728  1 Cd 2.71, 4 Zr 2.93-2.98
Cd14 0.5000 0.5000 0.8272  1 Cd 2.71, 4 Zr 2.93-2.98
Cd15 0.5000 0.5000 0.1728  1 Cd 2.71, 4 Zr 2.93-2.98
Cd16 0.7500 0.7500 0.5772  1 Cd 2.71, 4 Zr 2.93-2.98

Results
energy relative to the elements: 0.226 eV/atom

---

A relaxed ZrCd2 crystal. Source: Alexandria via LeMat-Bulk, functional PBE.

a b c (Å): 4.3992 4.3992 13.8619
angles (deg): 99.13 99.13 90.00
Closest atoms and distances in Å follow each position.
Atoms (fractional coordinates):
Cd1 0.5002 0.0002 0.0004  8 Cd 3.11-3.17, 4 Zr 3.15
Cd2 0.8344 0.3344 0.6688  6 Cd 3.11-3.17, 6 Zr 3.11-3.13
Cd3 0.7498 0.7498 0.4996  8 Cd 3.11-3.17, 4 Zr 3.15
Cd4 0.4156 0.4156 0.8312  6 Cd 3.11-3.17, 6 Zr 3.11-3.13
Cd5 0.2502 0.2502 0.5004  8 Cd 3.11-3.17, 4 Zr 3.15
Cd6 0.9998 0.4998 0.9996  8 Cd 3.11-3.17, 4 Zr 3.15
Cd7 0.5844 0.5844 0.1688  6 Cd 3.11-3.17, 6 Zr 3.11-3.13
Cd8 0.6656 0.1656 0.3312  6 Cd 3.11-3.17, 6 Zr 3.11-3.13
Zr1 0.9166 0.9166 0.8331  10 Cd 3.11-3.15, 2 Zr 3.14
Zr2 0.0834 0.0834 0.1669  10 Cd 3.11-3.15, 2 Zr 3.14
Zr3 0.1666 0.6666 0.3331  10 Cd 3.11-3.15, 2 Zr 3.14
Zr4 0.3334 0.8334 0.6669  10 Cd 3.11-3.15, 2 Zr 3.14

Results
energy relative to the elements: -0.090 eV/atom

---

A relaxed ZrCd6 crystal. Source: Alexandria via LeMat-Bulk, functional PBE.

a b c (Å): 6.6621 6.6621 6.6621
angles (deg): 109.47 109.47 109.47
Closest atoms and distances in Å follow each position.
Atoms (fractional coordinates):
Cd1 0.2500 0.5000 0.7500  4 Cd 2.72
Cd2 0.7500 0.2500 0.5000  4 Cd 2.72
Cd3 0.5000 0.2500 0.7500  4 Cd 2.72
Cd4 0.2500 0.7500 0.5000  4 Cd 2.72
Cd5 0.5000 0.7500 0.2500  4 Cd 2.72
Cd6 0.7500 0.5000 0.2500  4 Cd 2.72
Zr1 0.0000 0.0000 0.0000  24 Cd 4.30

Results
energy relative to the elements: 0.838 eV/atom

---

A relaxed Zr3Cd crystal. Source: Alexandria via LeMat-Bulk, functional PBE.

a b c (Å): 6.0714 6.0714 6.0714
angles (deg): 149.85 125.89 63.20
Closest atoms and distances in Å follow each position.
Atoms (fractional coordinates):
Zr1 0.4811 0.5000 0.9811  4 Cd 3.06-3.30, 8 Zr 3.16-3.20
Zr2 0.0817 0.7419 0.3398  3 Cd 3.10-3.24, 9 Zr 3.16-3.20
Zr3 0.5979 0.2581 0.3398  3 Cd 3.10-3.24, 9 Zr 3.16-3.20
Cd1 0.0060 0.0000 0.0060  10 Zr 3.06-3.30, 2 Cd 3.16

Results
energy relative to the elements: -0.032 eV/atom

---

A relaxed ZrCd2 crystal. Source: Alexandria via LeMat-Bulk, functional PBE.

a b c (Å): 4.9695 4.9695 6.0627
angles (deg): 90.00 90.00 120.00
Closest atoms and distances in Å follow each position.
Atoms (fractional coordinates):
Zr1 0.6667 0.3333 0.2500  5 Cd 2.87-3.03
Zr2 0.3333 0.6667 0.7500  5 Cd 2.87-3.03
Cd1 0.3333 0.6667 0.2500  5 Zr 2.87-3.03
Cd2 0.0000 0.0000 0.0000  8 Cd 3.03-3.24, 6 Zr 3.24
Cd3 0.0000 0.0000 0.5000  8 Cd 3.03-3.24, 6 Zr 3.24
Cd4 0.6667 0.3333 0.7500  5 Zr 2.87-3.03

Results
energy relative to the elements: -0.013 eV/atom

---

A relaxed ZrCd2 crystal. Source: Alexandria via LeMat-Bulk, functional PBE.

a b c (Å): 3.1209 3.1209 7.8441
angles (deg): 90.00 90.00 120.00
Closest atoms and distances in Å follow each position.
Atoms (fractional coordinates):
Zr1 0.6667 0.3333 0.3333  6 Zr 3.12, 6 Cd 3.19
Cd1 0.0000 0.0000 0.9982  9 Cd 3.12-3.15, 3 Zr 3.19
Cd2 0.3333 0.6667 0.6684  9 Cd 3.12-3.15, 3 Zr 3.19

Results
energy relative to the elements: -0.024 eV/atom

---

A relaxed ZrCd2 crystal. Source: Alexandria via LeMat-Bulk, functional PBE.

a b c (Å): 14.3642 14.3642 14.3642
angles (deg): 167.64 167.64 17.52
Closest atoms and distances in Å follow each position.
Atoms (fractional coordinates):
Zr1 0.7500 0.2500 0.5000  4 Zr 3.09, 8 Cd 3.15
Zr2 0.0000 0.0000 0.0000  4 Zr 3.09, 8 Cd 3.15
Cd1 0.5797 0.5797 0.0000  6 Cd 3.00-3.09, 4 Zr 3.15
Cd2 0.1703 0.6703 0.5000  6 Cd 3.00-3.09, 4 Zr 3.15
Cd3 0.4203 0.4203 0.0000  6 Cd 3.00-3.09, 4 Zr 3.15
Cd4 0.3297 0.8297 0.5000  6 Cd 3.00-3.09, 4 Zr 3.15

Results
energy relative to the elements: -0.018 eV/atom

---

A relaxed ZrCd crystal. Source: Alexandria via LeMat-Bulk, functional PBE.

a b c (Å): 3.2240 3.2240 10.1549
angles (deg): 90.00 90.00 120.00
Closest atoms and distances in Å follow each position.
Atoms (fractional coordinates):
Cd1 0.3333 0.6667 0.2483  9 Cd 3.12-3.22, 3 Zr 3.18
Cd2 0.0000 0.0000 0.0017  9 Cd 3.12-3.22, 3 Zr 3.18
Zr1 0.3333 0.6667 0.7477  9 Zr 3.11-3.22, 3 Cd 3.18
Zr2 0.0000 0.0000 0.5023  9 Zr 3.11-3.22, 3 Cd 3.18

Results
energy relative to the elements: -0.037 eV/atom

---

A relaxed Zr4Cd crystal. Source: Alexandria via LeMat-Bulk, functional PBE.

a b c (Å): 5.2257 5.2257 5.2257
angles (deg): 90.00 90.00 90.00
Closest atoms and distances in Å follow each position.
Atoms (fractional coordinates):
Zr1 0.0000 0.5000 0.5000  2 Cd 2.61
Zr2 0.5000 0.5000 0.0000  2 Cd 2.61
Zr3 0.0000 0.0000 0.0000  12 Zr 3.70
Zr4 0.5000 0.0000 0.5000  2 Cd 2.61
Cd1 0.5000 0.5000 0.5000  6 Zr 2.61

Results
energy relative to the elements: 1.121 eV/atom
energy relative to the lowest polymorph listed for this composition: 1180 meV per atom

---

A relaxed Zr2Cd crystal. Source: Alexandria via LeMat-Bulk, functional PBE.

a b c (Å): 3.0924 3.0924 7.3820
angles (deg): 102.09 102.09 90.00
Closest atoms and distances in Å follow each position.
Atoms (fractional coordinates):
Zr1 0.6694 0.6694 0.3388  8 Zr 3.09-3.15, 4 Cd 3.24
Zr2 0.3306 0.3306 0.6612  8 Zr 3.09-3.15, 4 Cd 3.24
Cd1 0.0000 0.0000 0.0000  4 Cd 3.09, 8 Zr 3.24

Results
energy relative to the elements: -0.118 eV/atom

---

A relaxed Zr3Cd5 crystal. Source: Alexandria via LeMat-Bulk, functional PBE.

a b c (Å): 8.5554 8.5554 8.4719
angles (deg): 98.84 98.84 139.90
Closest atoms and distances in Å follow each position.
Atoms (fractional coordinates):
Cd1 0.8434 0.3434 0.6196  5 Cd 2.82-2.86, 3 Zr 2.89-3.12
Cd2 0.6726 0.8946 0.6109  3 Cd 2.86-2.98, 5 Zr 2.98-3.08
Cd3 0.7732 0.5159 0.1666  4 Cd 2.95-3.13, 4 Zr 3.09-3.19
Cd4 0.0430 0.7257 0.9298  4 Cd 2.82-3.02, 4 Zr 2.98-3.15
Cd5 0.1668 0.6668 0.4498  5 Cd 2.85-2.98
Cd6 0.3946 0.1726 0.6109  3 Cd 2.86-2.98, 5 Zr 2.98-3.08
Cd7 0.6265 0.7357 0.2550  4 Cd 2.94-3.13, 5 Zr 3.14-3.26
Cd8 0.2357 0.1265 0.2550  4 Cd 2.94-3.13, 5 Zr 3.14-3.26
Cd9 0.0159 0.2732 0.1666  4 Cd 2.95-3.13, 4 Zr 3.09-3.19
Cd10 0.2257 0.5430 0.9298  4 Cd 2.82-3.02, 4 Zr 2.98-3.15
Zr1 0.8179 0.6731 0.5534  9 Cd 2.98-3.27, 1 Zr 3.09
Zr2 0.5623 0.0623 0.8687  8 Cd 3.08-3.26, 1 Zr 3.21
Zr3 0.6904 0.7242 0.8983  7 Cd 2.98-3.30, 3 Zr 2.98-3.09
Zr4 0.5416 0.0416 0.2405  7 Cd 2.89-3.22, 1 Zr 3.21
Zr5 0.2242 0.1904 0.8983  7 Cd 2.98-3.30, 3 Zr 2.98-3.09
Zr6 0.1731 0.3179 0.5534  9 Cd 2.98-3.27, 1 Zr 3.09

Results
energy relative to the elements: 0.009 eV/atom
energy relative to the lowest polymorph listed for this composition: 112 meV per atom